Version 1
# Sm2Cu2Pt

A geometry-optimized Sm2Cu2Pt structure (PBE, Alexandria via LeMat-Bulk).

abc: 10.3728 4.1316 10.9925
angles: 90.00 114.64 90.00
Last column: nearest neighbours and their distance in Å.
Space group C2/m (No. 12)
Unique sites:
Sm 0.0249 0.0000 0.3458 [4 per cell]  7 Cu 2.95-3.24, 3 Pt 2.97-3.08
Sm 0.1953 0.0000 0.1185 [4 per cell]  2 Pt 2.99, 6 Cu 2.99-3.26
Cu 0.0217 0.5000 0.8932 [4 per cell]  1 Cu 2.57, 1 Pt 2.63
Cu 0.1340 0.5000 0.5564 [4 per cell]  1 Cu 2.53, 2 Pt 2.58
Pt 0.2191 0.5000 0.3231 [4 per cell]  3 Cu 2.58-2.63

Version 2
# Sm2Cu2Pt

A geometry-optimized Sm2Cu2Pt structure (PBE, Alexandria via LeMat-Bulk).

abc: 7.2136 7.2136 7.8146
angles: 90.00 90.00 90.00
Last column: nearest neighbours and their distance in Å.
Space group P4/mnc (No. 128)
Unique sites:
Sm 0.1833 0.3165 0.0000 [8 per cell]  6 Cu 2.80-2.97
Cu 0.1195 0.6195 0.2500 [8 per cell]  1 Cu 2.44
Pt 0.0000 0.0000 0.2491 [4 per cell]  4 Cu 2.88

Tell me which of them is the most stable. Sure, it is version 1.

Version 1
# SmThCuPt

A geometry-optimized SmThCuPt structure (PBE, Alexandria via LeMat-Bulk).

abc: 7.1695 7.1695 7.1695
angles: 90.00 90.00 90.00
Last column: nearest neighbours and their distance in Å.
Space group F-43m (No. 216)
Unique sites:
Sm 0.0000 0.0000 0.0000 [4 per cell]  4 Pt 3.10, 4 Cu 3.10
Th 0.0000 0.0000 0.5000 [4 per cell]  4 Cu 3.10, 4 Pt 3.10
Cu 0.2500 0.2500 0.7500 [4 per cell]  4 Sm 3.10, 4 Th 3.10
Pt 0.2500 0.2500 0.2500 [4 per cell]  4 Th 3.10, 4 Sm 3.10

Version 2
# SmThCuPt

A geometry-optimized SmThCuPt structure (PBE, Alexandria via LeMat-Bulk).

abc: 4.4077 3.8708 11.2107
angles: 90.00 90.00 90.00
Last column: nearest neighbours and their distance in Å.
Space group Amm2 (No. 38)
Unique sites:
Sm 0.0000 0.0000 0.0000 [2 per cell]  4 Cu 3.01, 3 Pt 3.06-3.20
Th 0.5000 0.0000 0.7292 [2 per cell]  4 Pt 2.97, 3 Cu 3.06-3.24
Cu 0.5000 0.0000 0.4400 [2 per cell]  2 Pt 2.90, 4 Sm 3.01, 3 Th 3.06-3.24
Pt 0.0000 0.0000 0.2726 [2 per cell]  2 Cu 2.90, 4 Th 2.97, 3 Sm 3.06-3.20

Tell me which of them is the most stable. Sure, it is version 2.

Version 1
# Cu2Sn2Pt

A geometry-optimized Cu2Sn2Pt structure (PBE, Alexandria via LeMat-Bulk).

abc: 6.7777 6.7777 3.8607
angles: 90.00 90.00 90.00
Last column: nearest neighbours and their distance in Å.
Space group P4/mbm (No. 127)
Unique sites:
Cu 0.1292 0.3708 0.0000 [4 per cell]  1 Cu 2.48, 2 Pt 2.66, 2 Sn 2.69
Sn 0.1756 0.6756 0.5000 [4 per cell]  6 Cu 2.69-2.84
Pt 0.0000 0.0000 0.0000 [2 per cell]  4 Cu 2.66

Version 2
# Cu2Sn2Pt

A geometry-optimized Cu2Sn2Pt structure (PBE, Alexandria via LeMat-Bulk).

abc: 7.0090 7.0090 3.8656
angles: 90.00 90.00 90.00
Last column: nearest neighbours and their distance in Å.
Space group P4/mbm (No. 127)
Unique sites:
Cu 0.1300 0.3700 0.0000 [4 per cell]  1 Cu 2.58, 6 Sn 2.80-2.85
Sn 0.1584 0.6584 0.5000 [4 per cell]  2 Pt 2.64, 6 Cu 2.80-2.85
Pt 0.0000 0.0000 0.5000 [2 per cell]  4 Sn 2.64

Tell me which of them is the most stable. Sure, it is version 1.

Version 1
# Cu2SnPt2

A geometry-optimized Cu2SnPt2 structure (PBE, Alexandria via LeMat-Bulk).

abc: 7.3097 7.3097 3.0045
angles: 90.00 90.00 90.00
Last column: nearest neighbours and their distance in Å.
Space group P4/mbm (No. 127)
Unique sites:
Cu 0.1560 0.3440 0.0000 [4 per cell]  6 Pt 2.59-2.63
Sn 0.0000 0.0000 0.5000 [2 per cell]  4 Pt 2.82, 2 Sn 3.00, 8 Cu 3.14
Pt 0.1396 0.6396 0.5000 [4 per cell]  6 Cu 2.59-2.63, 2 Sn 2.82, 1 Pt 2.89

Version 2
# Cu2SnPt2

A geometry-optimized Cu2SnPt2 structure (PBE, Alexandria via LeMat-Bulk).

abc: 3.4876 3.4876 13.5208
angles: 90.00 90.00 90.00
Last column: nearest neighbours and their distance in Å.
Space group I4/mmm (No. 139)
Unique sites:
Cu 0.0000 0.5000 0.2500 [4 per cell]  4 Cu 2.47, 4 Pt 2.63
Sn 0.0000 0.0000 0.0000 [2 per cell]  8 Pt 2.84
Pt 0.0000 0.0000 0.3953 [4 per cell]  4 Cu 2.63, 1 Pt 2.83, 4 Sn 2.84

Tell me which of them is the most stable. Sure, it is version 1.

Version 1
# CuSn2Pt

A geometry-optimized CuSn2Pt structure (PBE, Alexandria via LeMat-Bulk).

abc: 3.5371 3.5371 26.0393
angles: 90.00 90.00 120.00
Last column: nearest neighbours and their distance in Å.
Space group R-3m (No. 166, hexagonal axes)
Unique sites:
Cu 0.0000 0.0000 0.0000 [3 per cell]  2 Sn 2.52
Sn 0.0000 0.0000 0.0969 [6 per cell]  1 Cu 2.52, 3 Pt 2.73
Pt 0.0000 0.0000 0.5000 [3 per cell]  6 Sn 2.73

Version 2
# CuSn2Pt

A geometry-optimized CuSn2Pt structure (PBE, Alexandria via LeMat-Bulk).

abc: 7.4381 7.4381 6.0309
angles: 90.00 90.00 90.00
Last column: nearest neighbours and their distance in Å.
Space group I-42d (No. 122)
Unique sites:
Cu 0.0000 0.0000 0.0000 [4 per cell]  4 Sn 2.74, 2 Pt 3.02
Sn 0.2494 0.7500 0.6250 [8 per cell]  2 Pt 2.73, 2 Cu 2.74, 2 Sn 3.02
Pt 0.0000 0.0000 0.5000 [4 per cell]  4 Sn 2.73, 2 Cu 3.02

Version 3
# CuSn2Pt

A geometry-optimized CuSn2Pt structure (PBE, Alexandria via LeMat-Bulk).

abc: 6.7501 6.7501 6.7501
angles: 90.00 90.00 90.00
Last column: nearest neighbours and their distance in Å.
Space group Fm-3m (No. 225)
Unique sites:
Cu 0.0000 0.0000 0.0000 [4 per cell]  8 Sn 2.92
Sn 0.2500 0.2500 0.2500 [8 per cell]  4 Cu 2.92, 4 Pt 2.92
Pt 0.0000 0.0000 0.5000 [4 per cell]  8 Sn 2.92

Tell me which of them is the most stable. Sure, it is version 3.

Version 1
# SrCuPt

A geometry-optimized SrCuPt structure (PBE, Alexandria via LeMat-Bulk).

abc: 5.3592 5.7210 7.7063
angles: 90.00 90.00 90.00
Last column: nearest neighbours and their distance in Å.
Space group Imma (No. 74)
Unique sites:
Sr 0.0000 0.2500 0.1253 [4 per cell]  6 Pt 3.19-3.22, 6 Cu 3.19-3.30, 4 Sr 3.30-3.45
Cu 0.2500 0.2500 0.7500 [4 per cell]  2 Cu 2.68, 4 Pt 2.75
Pt 0.0000 0.0000 0.5000 [4 per cell]  4 Cu 2.75, 2 Pt 2.86

Version 2
# SrCuPt

A geometry-optimized SrCuPt structure (PBE, Alexandria via LeMat-Bulk).

abc: 3.1932 3.8632 10.2282
angles: 90.00 90.00 90.00
Last column: nearest neighbours and their distance in Å.
Space group Imm2 (No. 44)
Unique sites:
Sr 0.0000 0.0000 0.0000 [2 per cell]  1 Cu 2.90, 1 Pt 3.04, 2 Sr 3.19
Cu 0.0000 0.0000 0.7162 [2 per cell]  4 Pt 2.64, 1 Sr 2.90
Pt 0.0000 0.0000 0.2970 [2 per cell]  4 Cu 2.64

Version 3
# SrCuPt

A geometry-optimized SrCuPt structure (PBE, Alexandria via LeMat-Bulk).

abc: 5.2551 8.9963 6.2844
angles: 90.00 90.00 90.00
Last column: nearest neighbours and their distance in Å.
Space group Imma (No. 74)
Unique sites:
Sr 0.0000 0.0000 0.0000 [4 per cell]  4 Pt 3.04, 2 Cu 3.36
Cu 0.0000 0.2500 0.3970 [4 per cell]  2 Pt 2.58
Pt 0.2500 0.2500 0.7500 [4 per cell]  2 Cu 2.58, 2 Pt 2.63

Version 4
# SrCuPt

A geometry-optimized SrCuPt structure (PBE, Alexandria via LeMat-Bulk).

abc: 8.5985 5.6231 5.6420
angles: 90.00 109.24 90.00
Last column: nearest neighbours and their distance in Å.
Space group C2/m (No. 12)
Unique sites:
Sr 0.1380 0.0000 0.3643 [4 per cell]  2 Cu 2.90, 3 Pt 3.04-3.17, 1 Sr 3.22
Cu 0.2500 0.2500 0.0000 [4 per cell]  2 Pt 2.55, 2 Cu 2.81
Pt 0.0019 0.5000 0.7529 [4 per cell]  2 Cu 2.55, 2 Pt 2.80-2.84

Tell me which of them is the most stable. Sure, it is version 1.

Version 1
# SrCuPt3

A geometry-optimized SrCuPt3 structure (PBE, Alexandria via LeMat-Bulk).

abc: 5.2130 5.2130 5.2130
angles: 90.00 90.00 90.00
Last column: nearest neighbours and their distance in Å.
Space group Pm-3m (No. 221)
Unique sites:
Sr 0.0000 0.0000 0.0000 [1 per cell]  6 Pt 2.61
Cu 0.5000 0.5000 0.5000 [1 per cell]  12 Pt 3.69
Pt 0.0000 0.0000 0.5000 [3 per cell]  2 Sr 2.61

Version 2
# SrCuPt3

A geometry-optimized SrCuPt3 structure (PBE, Alexandria via LeMat-Bulk).

abc: 4.7206 4.7206 4.7206
angles: 90.00 90.00 90.00
Last column: nearest neighbours and their distance in Å.
Space group Pm-3m (No. 221)
Unique sites:
Sr 0.0000 0.0000 0.0000 [1 per cell]  12 Pt 3.34
Cu 0.5000 0.5000 0.5000 [1 per cell]  6 Pt 2.36
Pt 0.0000 0.5000 0.5000 [3 per cell]  2 Cu 2.36

Tell me which of them is the most stable. Sure, it is version 2.

Version 1
# SrCu3Pt

A geometry-optimized SrCu3Pt structure (PBE, Alexandria via LeMat-Bulk).

abc: 4.8022 4.8022 4.8022
angles: 90.00 90.00 90.00
Last column: nearest neighbours and their distance in Å.
Space group Pm-3m (No. 221)
Unique sites:
Sr 0.0000 0.0000 0.0000 [1 per cell]  12 Cu 3.40
Cu 0.0000 0.5000 0.5000 [3 per cell]  2 Pt 2.40
Pt 0.5000 0.5000 0.5000 [1 per cell]  6 Cu 2.40

Version 2
# SrCu3Pt

A geometry-optimized SrCu3Pt structure (PBE, Alexandria via LeMat-Bulk).

abc: 4.9096 4.9096 4.9096
angles: 90.00 90.00 90.00
Last column: nearest neighbours and their distance in Å.
Space group Pm-3m (No. 221)
Unique sites:
Sr 0.0000 0.0000 0.0000 [1 per cell]  6 Cu 2.45
Cu 0.0000 0.0000 0.5000 [3 per cell]  2 Sr 2.45
Pt 0.5000 0.5000 0.5000 [1 per cell]  12 Cu 3.47

Tell me which of them is the most stable. Sure, it is version 1.